Entry 1:
ErAgSe2 meta-GGA SCAN single point on PBEsol structure; SG = P4/mmm; formation energy from raw total energies = -1.231 eV/atom; theoretical density = 8105 kg/m³; E = -31.697 eV per atom; spin magnetization = 0.0 Bohr magnetons per cell
1.0
3.981 0.000 0.000
0.000 3.981 0.000
0.000 0.000 5.597
Er Ag Se
1 1 2
direct
0.000 0.000 0.000
0.500 0.500 0.500
0.000 0.000 0.500
0.500 0.500 0.000

---

Entry 2:
TaBeCo2 meta-GGA SCAN single point on PBEsol structure; SG = Pmmm; energy of formation = -160.6 meV/atom; theoretical density = 11165 kg/m³; E = -26.547 eV per atom; spin magnetization = 1.4 Bohr magnetons per cell
1.0
2.879 0.000 0.000
0.000 3.019 0.000
0.000 0.000 5.268
Ta Be Co
1 1 2
direct
0.000 0.000 0.000
0.000 0.000 0.500
0.500 0.500 0.274
0.500 0.500 0.726

---

Entry 3:
CrW meta-GGA SCAN single point on PBEsol structure; SG = Cm; energy of formation = 72.2 meV/atom; theoretical density = 14470 kg/m³; E = -43.964 eV per atom; spin magnetization = 0.0 Bohr magnetons per cell
1.0
4.731 -1.505 0.000
4.731 1.505 0.000
-1.904 0.000 5.702
Cr W
3 3
direct
0.000 0.000 0.000
0.000 0.000 0.489
0.661 0.661 0.323
0.332 0.332 0.654
0.336 0.336 0.167
0.658 0.658 0.824

---

Entry 4:
BaHg2Pt meta-GGA SCAN single point on PBEsol structure; SG = Fmmm; energy of formation = -253.9 meV/atom; theoretical density = 11252 kg/m³; E = -61.773 eV per atom; spin magnetization = 0.0 Bohr magnetons per cell
1.0
0.000 3.150 5.690
3.020 0.000 5.690
3.020 3.150 0.000
Ba Hg Pt
1 2 1
direct
0.000 0.000 0.000
0.000 0.500 0.500
0.500 0.000 0.000
0.500 0.500 0.500